# 1
Material: Na2CoBi2
Method: DFT, PBE-GGA
State: relaxed

V	24.89	Å³/atom
E	-15.2	eV/f.u.
energy of formation from the pure elements	457	meV/atom

abc: 9.1806 9.1806 9.1806
angles: 156.35 156.35 33.70
With the nearest neighbours (Å) after each atom.
Element x y z (fractional)
Na1 0.2500 0.7500 0.5000  4 Na 2.66
Na2 0.7500 0.2500 0.5000  4 Na 2.66
Co1 0.0000 0.0000 0.0000  8 Bi 3.09
Bi1 0.4105 0.4105 0.0000  4 Co 3.09, 1 Bi 3.15, 4 Na 3.39
Bi2 0.5895 0.5895 0.0000  4 Co 3.09, 1 Bi 3.15, 4 Na 3.39

---

# 2
Material: ThAg6Cl12
Method: DFT, PBE-GGA
State: relaxed

V	33.00	Å³/atom
E	-62.8	eV/f.u.
raw formation energy	-0.849	eV per atom

abc: 8.7498 8.7498 8.7498
angles: 77.28 77.28 77.28
With the nearest neighbours (Å) after each atom.
Element x y z (fractional)
Th1 0.0000 0.0000 0.0000  6 Cl 2.70
Ag1 0.1125 0.5979 0.3073  4 Cl 2.52-2.82
Ag2 0.3073 0.1125 0.5979  4 Cl 2.52-2.82
Ag3 0.4021 0.6927 0.8875  4 Cl 2.52-2.82
Ag4 0.5979 0.3073 0.1125  4 Cl 2.52-2.82
Ag5 0.6927 0.8875 0.4021  4 Cl 2.52-2.82
Ag6 0.8875 0.4021 0.6927  4 Cl 2.52-2.82
Cl1 0.0108 0.9354 0.3142  1 Th 2.70, 2 Ag 2.82-2.90
Cl2 0.0646 0.6858 0.9892  1 Th 2.70, 2 Ag 2.82-2.90
Cl3 0.1791 0.4028 0.5682  3 Ag 2.52-2.63
Cl4 0.3142 0.0108 0.9354  1 Th 2.70, 2 Ag 2.82-2.90
Cl5 0.4028 0.5682 0.1791  3 Ag 2.52-2.63
Cl6 0.4318 0.8209 0.5972  3 Ag 2.52-2.63
Cl7 0.5682 0.1791 0.4028  3 Ag 2.52-2.63
Cl8 0.5972 0.4318 0.8209  3 Ag 2.52-2.63
Cl9 0.6858 0.9892 0.0646  1 Th 2.70, 2 Ag 2.82-2.90
Cl10 0.8209 0.5972 0.4318  3 Ag 2.52-2.63
Cl11 0.9354 0.3142 0.0108  1 Th 2.70, 2 Ag 2.82-2.90
Cl12 0.9892 0.0646 0.6858  1 Th 2.70, 2 Ag 2.82-2.90

---

# 3
Material: Mn2CoP
Method: DFT, PBE-GGA
State: relaxed

V	10.76	Å³/atom
E	-31.7	eV/f.u.
energy of formation from the pure elements	-200	meV/atom

abc: 4.3369 4.3369 4.3369
angles: 132.84 132.84 68.91
With the nearest neighbours (Å) after each atom.
Element x y z (fractional)
Mn1 0.2500 0.7500 0.5000  4 Mn 2.45, 4 Co 2.49, 4 P 2.49
Mn2 0.7500 0.2500 0.5000  4 Mn 2.45, 4 Co 2.49, 4 P 2.49
Co1 0.0000 0.0000 0.0000  4 P 2.45, 8 Mn 2.49
P1 0.5000 0.5000 0.0000  4 Co 2.45, 8 Mn 2.49

---

# 4
Material: TcMo2WSe
Method: DFT, PBE-GGA
State: relaxed

V	22.08	Å³/atom
E	-38.7	eV/f.u.
raw formation energy	1.960	eV per atom

abc: 4.8433 4.8433 4.7053
angles: 90.00 90.00 90.00
With the nearest neighbours (Å) after each atom.
Element x y z (fractional)
Tc1 0.0000 0.0000 0.0000  8 Mo 3.38, 4 Se 3.42
Mo1 0.0000 0.5000 0.5000  2 W 2.42
Mo2 0.5000 0.0000 0.5000  2 W 2.42
W1 0.5000 0.5000 0.5000  2 Se 2.35, 4 Mo 2.42
Se1 0.5000 0.5000 0.0000  2 W 2.35

---

# 5
Material: Cd2As3
Method: DFT, PBE-GGA
State: relaxed

V	22.83	Å³/atom
E	-15.4	eV/f.u.
energy of formation from the pure elements	82	meV/atom

abc: 8.8769 8.8769 8.8769
angles: 25.50 25.50 25.50
With the nearest neighbours (Å) after each atom.
Element x y z (fractional)
Cd1 0.1038 0.1038 0.1038  6 As 2.78-3.01
Cd2 0.8962 0.8962 0.8962  6 As 2.78-3.01
As1 0.3068 0.3068 0.3068  3 As 2.64
As2 0.5000 0.5000 0.5000  6 Cd 2.78
As3 0.6932 0.6932 0.6932  3 As 2.64

---

# 6
Material: La3SmInFe
Method: DFT, PBE-GGA
State: relaxed

V	29.54	Å³/atom
E	-31.8	eV/f.u.
energy of formation from the pure elements	-181	meV/atom

abc: 9.3184 9.3184 6.0914
angles: 109.01 109.01 45.75
With the nearest neighbours (Å) after each atom.
Element x y z (fractional)
La1 0.1224 0.6401 0.8911  1 Fe 2.63
La2 0.3104 0.3104 0.2977  1 Fe 3.28, 4 La 3.54-3.64, 4 In 3.55-3.67, 2 Sm 3.60
La3 0.3599 0.8776 0.1089  1 Fe 2.63
La4 0.6401 0.1224 0.8911  1 Fe 2.63
La5 0.6896 0.6896 0.7023  1 Fe 3.28, 4 La 3.54-3.64, 4 In 3.55-3.67, 2 Sm 3.60
La6 0.8776 0.3599 0.1089  1 Fe 2.63
Sm1 0.2363 0.7637 0.5000  2 Fe 2.77
Sm2 0.7637 0.2363 0.5000  2 Fe 2.77
In1 0.1902 0.1902 0.6894  2 Sm 3.50, 10 La 3.55-3.74
In2 0.8098 0.8098 0.3106  2 Sm 3.50, 10 La 3.55-3.74
Fe1 0.4774 0.4774 0.1539  1 Fe 2.27
Fe2 0.5226 0.5226 0.8461  1 Fe 2.27

---

Q: What is the E in the sixth record?
A: -31.8 eV/f.u.

---

Q: V of number 5 (Cd2As3)?
A: 22.83 Å³/atom

---

Q: Which value of V does entry 1 give?
A: 24.89 Å³/atom